An optimized crystal structure of Gd3Tl. Source: the Alexandria database, functional PBE.

Calculated values
crystal system	cubic
SG	Fm-3m
ΔE_f	-38	kJ/mol of formula units

a b c (Å): 5.4977 5.4977 5.4977
angles (deg): 60.00 60.00 60.00
Atoms (fractional coordinates):
Gd (0.0000, 0.0000, 0.0000)
Gd (0.2500, 0.2500, 0.2500)
Gd (0.7500, 0.7500, 0.7500)
Tl (0.5000, 0.5000, 0.5000)

An optimized crystal structure of GdTl. Source: the Alexandria database, functional PBE.

Calculated values
crystal system	monoclinic
SG	P2_1/m
ΔE_f	-66	kJ/mol of formula units

a b c (Å): 3.9345 4.9089 6.3539
angles (deg): 90.00 107.99 90.00
Atoms (fractional coordinates):
Gd (0.1460, 0.2500, 0.2935)
Gd (0.8540, 0.7500, 0.7065)
Tl (0.4146, 0.2500, 0.8280)
Tl (0.5854, 0.7500, 0.1720)

An optimized crystal structure of Gd2Tl. Source: the Alexandria database, functional PBE.

Calculated values
crystal system	hexagonal
SG	P6_3/mmc
ΔE_f	-89	kJ/mol of formula units

a b c (Å): 5.4529 5.4529 6.7714
angles (deg): 90.00 90.00 120.00
Atoms (fractional coordinates):
Gd (0.0000, 0.0000, 0.0000)
Gd (0.0000, 0.0000, 0.5000)
Gd (0.3333, 0.6667, 0.2500)
Gd (0.6667, 0.3333, 0.7500)
Tl (0.3333, 0.6667, 0.7500)
Tl (0.6667, 0.3333, 0.2500)

An optimized crystal structure of Gd3Tl. Source: the Alexandria database, functional PBE.

Calculated values
crystal system	orthorhombic
SG	Imm2
ΔE_f	-66	kJ/mol of formula units

a b c (Å): 6.6254 6.6254 6.6254
angles (deg): 148.04 62.70 127.60
Atoms (fractional coordinates):
Gd (0.0000, 0.0000, 0.0000)
Gd (0.3864, 0.6138, 0.7726)
Gd (0.8411, 0.6138, 0.2274)
Tl (0.4660, 0.9660, 0.5000)

An optimized crystal structure of GdTmTl2. Source: the Alexandria database, functional PBE.

Calculated values
ΔE to the lowest computed polymorph	0.0154	eV/atom
crystal system	tetragonal
SG	P4/mmm
ΔE_f	-130	kJ/mol of formula units

a b c (Å): 5.0240 5.0240 4.3031
angles (deg): 90.00 90.00 90.00
Atoms (fractional coordinates):
Gd (0.0000, 0.0000, 0.0000)
Tm (0.5000, 0.5000, 0.0000)
Tl (0.0000, 0.5000, 0.5000)
Tl (0.5000, 0.0000, 0.5000)

An optimized crystal structure of GdTmTl2. Source: the Alexandria database, functional PBE.

Calculated values
ΔE to the lowest computed polymorph	0.0139	eV/atom
crystal system	cubic
SG	Fm-3m
ΔE_f	-131	kJ/mol of formula units

a b c (Å): 5.3640 5.3640 5.3640
angles (deg): 60.00 60.00 60.00
Atoms (fractional coordinates):
Gd (0.0000, 0.0000, 0.0000)
Tm (0.5000, 0.5000, 0.5000)
Tl (0.2500, 0.2500, 0.2500)
Tl (0.7500, 0.7500, 0.7500)

An optimized crystal structure of GdTmTl2. Source: the Alexandria database, functional PBE.

Calculated values
ΔE to the lowest computed polymorph	0.0991	eV/atom
crystal system	trigonal
SG	R-3m
ΔE_f	-98	kJ/mol of formula units

a b c (Å): 9.9398 9.9398 9.9398
angles (deg): 21.56 21.56 21.56
Atoms (fractional coordinates):
Gd (0.0000, 0.0000, 0.0000)
Tm (0.5000, 0.5000, 0.5000)
Tl (0.2484, 0.2484, 0.2484)
Tl (0.7516, 0.7516, 0.7516)

An optimized crystal structure of GdTmTl. Source: the Alexandria database, functional PBE.

Calculated values
ΔE to the lowest computed polymorph	0.0000	eV/atom
crystal system	tetragonal
SG	I4mm
ΔE_f	-67	kJ/mol of formula units

a b c (Å): 6.9442 6.9442 6.9442
angles (deg): 149.26 149.26 44.02
Atoms (fractional coordinates):
Gd (0.0000, 0.0000, 0.0000)
Tm (0.6860, 0.6860, 0.0000)
Tl (0.3372, 0.3372, 0.0000)

An optimized crystal structure of GdTmTl2. Source: the Alexandria database, functional PBE.

Calculated values
ΔE to the lowest computed polymorph	0.0000	eV/atom
crystal system	tetragonal
SG	P4/mmm
ΔE_f	-136	kJ/mol of formula units

a b c (Å): 3.5916 3.5916 8.4081
angles (deg): 90.00 90.00 90.00
Atoms (fractional coordinates):
Gd (0.0000, 0.0000, 0.0000)
Tm (0.0000, 0.0000, 0.5000)
Tl (0.5000, 0.5000, 0.2557)
Tl (0.5000, 0.5000, 0.7443)

An optimized crystal structure of GdTmTl. Source: the Alexandria database, functional PBE.

Calculated values
ΔE to the lowest computed polymorph	0.0813	eV/atom
crystal system	trigonal
SG	P3m1
ΔE_f	-43	kJ/mol of formula units

a b c (Å): 5.2485 5.2485 3.7081
angles (deg): 90.00 90.00 120.00
Atoms (fractional coordinates):
Gd (0.0000, 0.0000, 0.0000)
Tm (0.6667, 0.3333, 0.5219)
Tl (0.3333, 0.6667, 0.4211)

An optimized crystal structure of GdTmTl. Source: the Alexandria database, functional PBE.

Calculated values
ΔE to the lowest computed polymorph	0.1791	eV/atom
crystal system	cubic
SG	F-43m
ΔE_f	-15	kJ/mol of formula units

a b c (Å): 5.1709 5.1709 5.1709
angles (deg): 60.00 60.00 60.00
Atoms (fractional coordinates):
Gd (0.0000, 0.0000, 0.0000)
Tm (0.5000, 0.5000, 0.5000)
Tl (0.2500, 0.2500, 0.2500)

An optimized crystal structure of GdYTmTl. Source: the Alexandria database, functional PBE.

Calculated values
crystal system	cubic
SG	F-43m
ΔE_f	-28	kJ/mol of formula units

a b c (Å): 5.4643 5.4643 5.4643
angles (deg): 60.00 60.00 60.00
Atoms (fractional coordinates):
Gd (0.0000, 0.0000, 0.0000)
Y (0.5000, 0.5000, 0.5000)
Tm (0.2500, 0.2500, 0.2500)
Tl (0.7500, 0.7500, 0.7500)

An optimized crystal structure of GdY2Tl. Source: the Alexandria database, functional PBE.

Calculated values
ΔE to the lowest computed polymorph	0.0000	eV/atom
crystal system	tetragonal
SG	P4/mmm
ΔE_f	-81	kJ/mol of formula units

a b c (Å): 4.9053 4.9053 4.8195
angles (deg): 90.00 90.00 90.00
Atoms (fractional coordinates):
Gd (0.0000, 0.0000, 0.0000)
Y (0.0000, 0.5000, 0.5000)
Y (0.5000, 0.0000, 0.5000)
Tl (0.5000, 0.5000, 0.0000)

An optimized crystal structure of Gd2YTl. Source: the Alexandria database, functional PBE.

Calculated values
ΔE to the lowest computed polymorph	0.3043	eV/atom
crystal system	trigonal
SG	R-3m
ΔE_f	31	kJ/mol of formula units

a b c (Å): 12.3182 12.3182 12.3182
angles (deg): 16.59 16.59 16.59
Atoms (fractional coordinates):
Gd (0.0886, 0.0886, 0.0886)
Gd (0.9114, 0.9114, 0.9114)
Y (0.5000, 0.5000, 0.5000)
Tl (0.0000, 0.0000, 0.0000)

An optimized crystal structure of GdY2Tl. Source: the Alexandria database, functional PBE.

Calculated values
ΔE to the lowest computed polymorph	0.1393	eV/atom
crystal system	cubic
SG	Fm-3m
ΔE_f	-27	kJ/mol of formula units

a b c (Å): 5.4797 5.4797 5.4797
angles (deg): 60.00 60.00 60.00
Atoms (fractional coordinates):
Gd (0.0000, 0.0000, 0.0000)
Y (0.2500, 0.2500, 0.2500)
Y (0.7500, 0.7500, 0.7500)
Tl (0.5000, 0.5000, 0.5000)

An optimized crystal structure of GdY2Tl. Source: the Alexandria database, functional PBE.

Calculated values
ΔE to the lowest computed polymorph	0.0339	eV/atom
crystal system	tetragonal
SG	P4/mmm
ΔE_f	-68	kJ/mol of formula units

a b c (Å): 3.6447 3.6447 9.1068
angles (deg): 90.00 90.00 90.00
Atoms (fractional coordinates):
Gd (0.0000, 0.0000, 0.0000)
Y (0.5000, 0.5000, 0.2744)
Y (0.5000, 0.5000, 0.7256)
Tl (0.0000, 0.0000, 0.5000)

An optimized crystal structure of GdYTl. Source: the Alexandria database, functional PBE.

Calculated values
ΔE to the lowest computed polymorph	0.0996	eV/atom
crystal system	trigonal
SG	P3m1
ΔE_f	-46	kJ/mol of formula units

a b c (Å): 5.2838 5.2838 3.7108
angles (deg): 90.00 90.00 120.00
Atoms (fractional coordinates):
Gd (0.0000, 0.0000, 0.0000)
Y (0.3333, 0.6667, 0.5398)
Tl (0.6667, 0.3333, 0.3172)

An optimized crystal structure of Gd2YTl. Source: the Alexandria database, functional PBE.

Calculated values
ΔE to the lowest computed polymorph	0.0000	eV/atom
crystal system	tetragonal
SG	P4/mmm
ΔE_f	-87	kJ/mol of formula units

a b c (Å): 4.8440 4.8440 4.9428
angles (deg): 90.00 90.00 90.00
Atoms (fractional coordinates):
Gd (0.0000, 0.5000, 0.0000)
Gd (0.5000, 0.0000, 0.0000)
Y (0.0000, 0.0000, 0.5000)
Tl (0.5000, 0.5000, 0.5000)

An optimized crystal structure of Gd2YTl. Source: the Alexandria database, functional PBE.

Calculated values
ΔE to the lowest computed polymorph	0.1570	eV/atom
crystal system	cubic
SG	Fm-3m
ΔE_f	-26	kJ/mol of formula units

a b c (Å): 5.5048 5.5048 5.5048
angles (deg): 60.00 60.00 60.00
Atoms (fractional coordinates):
Gd (0.2500, 0.2500, 0.2500)
Gd (0.7500, 0.7500, 0.7500)
Y (0.0000, 0.0000, 0.0000)
Tl (0.5000, 0.5000, 0.5000)

An optimized crystal structure of Gd2YTl. Source: the Alexandria database, functional PBE.

Calculated values
ΔE to the lowest computed polymorph	0.0560	eV/atom
crystal system	tetragonal
SG	P4/mmm
ΔE_f	-65	kJ/mol of formula units

a b c (Å): 3.6673 3.6673 9.1562
angles (deg): 90.00 90.00 90.00
Atoms (fractional coordinates):
Gd (0.0000, 0.0000, 0.2282)
Gd (0.0000, 0.0000, 0.7718)
Y (0.5000, 0.5000, 0.5000)
Tl (0.5000, 0.5000, 0.0000)